No. 1
The following is a DFT calculation (GGA-PBE) of Zr6CuIr5 after structural relaxation.

Lattice parameters (Å, degrees): 14.5196 6.6869 4.6495 90.00 105.39 90.00
Space group C2/m (No. 12)
Unique sites:
Zr 0.0000 0.2484 0.0000 (multiplicity 4)
Zr 0.1658 0.2482 0.6664 (multiplicity 8)
Cu 0.0000 0.5000 0.5000 (multiplicity 2)
Ir 0.0000 0.0000 0.5000 (multiplicity 2)
Ir 0.1603 0.5000 0.1514 (multiplicity 4)
Ir 0.1734 0.0000 0.1809 (multiplicity 4)

Results
The spin magnetization comes out at 0.00 μB/cell. Its calculated density is 12.0 g/cm³. The value obtained for the formation energy is -0.70 eV/atom.

No. 2
The following is a DFT calculation (GGA-PBE) of PaAgSnN after structural relaxation.

Lattice parameters (Å, degrees): 3.9798 3.9798 10.2331 90.00 90.00 90.00
Space group P4/nmm (No. 129, origin choice 2)
Unique sites:
Pa 0.2500 0.2500 0.1123 (multiplicity 2)
Ag 0.2500 0.7500 0.5000 (multiplicity 2)
Sn 0.2500 0.2500 0.7060 (multiplicity 2)
N 0.2500 0.7500 0.0000 (multiplicity 2)

Results
The uncorrected formation energy comes out at -3.25 eV/f.u. The spin magnetization comes out at 0.00 μB/cell. Its calculated density is 9.7 g/cm³.